No. 1
# BaCl2 GGA-PBEsol relaxed
data_BaCl2
_chemical_formula_sum 'Ba4 Cl8'
_space_group_name_H-M_alt 'P n m a'
_space_group_IT_number 62
_cell_length_a 7.798
_cell_length_b 4.701
_cell_length_c 9.384
_cell_angle_alpha 90.00
_cell_angle_beta 90.00
_cell_angle_gamma 90.00
loop_
_space_group_symop_operation_xyz
'x,y,z'
'-x,-y,-z'
'-x+1/2,-y,z+1/2'
'x+1/2,y,-z+1/2'
'x+1/2,-y+1/2,-z+1/2'
'-x+1/2,y+1/2,z+1/2'
'-x,y+1/2,-z'
'x,-y+1/2,z'
loop_
_atom_site_label
_atom_site_fract_x
_atom_site_fract_y
_atom_site_fract_z
Ba1 0.248 0.250 0.117
Cl1 0.029 0.250 0.830
Cl2 0.143 0.250 0.430
# Calculated volume = 28.67 A^3/atom
# Formation energy without anion corrections = -2.5426 eV per atom


No. 2
# BaCl5 GGA-PBEsol relaxed
data_BaCl5
_chemical_formula_sum 'Ba1 Cl5'
_space_group_name_H-M_alt 'P 6/m m m'
_space_group_IT_number 191
_space_group_name_Hall '-P 6 2'
_cell_length_a 5.3193
_cell_length_b 5.3193
_cell_length_c 7.1222
_cell_angle_alpha 90.00
_cell_angle_beta 90.00
_cell_angle_gamma 120.00
loop_
_atom_site_label
_atom_site_fract_x
_atom_site_fract_y
_atom_site_fract_z
Ba1 0.0000 0.0000 0.0000
Cl1 0.0000 0.5000 0.5000
Cl2 0.3333 0.6667 0.0000
# Calculated volume = 29.09 A^3/atom
# Formation energy without anion corrections = -0.9128 eV per atom


No. 3
# BaCl2 GGA-PBEsol relaxed
data_BaCl2
_chemical_formula_sum 'Ba3 Cl6'
_space_group_name_H-M_alt 'P -6 2 m'
_space_group_IT_number 189
_space_group_name_Hall 'P -6 -2'
_cell_length_a 8.0200
_cell_length_b 8.0200
_cell_length_c 4.6004
_cell_angle_alpha 90.00
_cell_angle_beta 90.00
_cell_angle_gamma 120.00
loop_
_atom_site_label
_atom_site_fract_x
_atom_site_fract_y
_atom_site_fract_z
Ba1 0.0000 0.0000 0.0000
Ba2 0.3333 0.6667 0.5000
Cl1 0.0000 0.2562 0.5000
Cl2 0.0000 0.5893 0.0000
# Calculated volume = 28.47 A^3/atom
# Formation energy without anion corrections = -2.5371 eV per atom


No. 4
# BaCl3 GGA-PBEsol relaxed
data_BaCl3
_chemical_formula_sum 'Ba2 Cl6'
_space_group_name_H-M_alt 'I m m m'
_space_group_IT_number 71
_space_group_name_Hall '-I 2 2'
_cell_length_a 4.463
_cell_length_b 4.479
_cell_length_c 10.016
_cell_angle_alpha 90.00
_cell_angle_beta 90.00
_cell_angle_gamma 90.00
loop_
_atom_site_label
_atom_site_fract_x
_atom_site_fract_y
_atom_site_fract_z
Ba1 0.000 0.000 0.000
Cl1 0.000 0.000 0.500
Cl2 0.000 0.500 0.251
# Calculated volume = 25.03 A^3/atom
# Formation energy without anion corrections = -1.6547 eV per atom


formation energy without anion corrections of number 4 (BaCl3)? -1.6547 eV per atom


Look up the calculated volume of the second one. 29.09 A^3/atom